1.
# W4N GGA-PBE relaxed
# - Total DFT energy (no corrections): -59.50 eV per cell
# - Symmetry: No. 221
# - Total magnetization: 0.0 Bohr magnetons per cell
data_W4N
_cell_length_a 4.138
_cell_length_b 4.138
_cell_length_c 4.138
_cell_angle_alpha 90.00
_cell_angle_beta 90.00
_cell_angle_gamma 90.00
_space_group_name_H-M_alt 'P 1'
_space_group_IT_number 1
loop_
_space_group_symop_operation_xyz
'x,y,z'
loop_
_atom_site_label
_atom_site_fract_x
_atom_site_fract_y
_atom_site_fract_z
W1 0.000 0.000 0.000
W2 0.000 0.500 0.500
W3 0.500 0.000 0.500
W4 0.500 0.500 0.000
N1 0.500 0.500 0.500


2.
# DyGaHg2 GGA-PBE relaxed
# - Total DFT energy (no corrections): -19.34 eV per cell
# - Symmetry: No. 63
# - Total magnetization: 0.0 Bohr magnetons per cell
data_DyGaHg2
_cell_length_a 6.574
_cell_length_b 6.574
_cell_length_c 4.914
_cell_angle_alpha 90.00
_cell_angle_beta 90.00
_cell_angle_gamma 121.61
_space_group_name_H-M_alt 'P 1'
_space_group_IT_number 1
loop_
_space_group_symop_operation_xyz
'x,y,z'
loop_
_atom_site_label
_atom_site_fract_x
_atom_site_fract_y
_atom_site_fract_z
Dy1 0.171 0.829 0.750
Dy2 0.829 0.171 0.250
Ga1 0.338 0.662 0.250
Ga2 0.662 0.338 0.750
Hg1 0.171 0.339 0.750
Hg2 0.339 0.171 0.250
Hg3 0.661 0.829 0.750
Hg4 0.829 0.661 0.250


3.
# Tm5Cu2Sb GGA-PBE relaxed
# - Total DFT energy (no corrections): -74.88 eV per cell
# - Symmetry: No. 140
# - Total magnetization: 0.0 Bohr magnetons per cell
data_Tm5Cu2Sb
_cell_length_a 8.409
_cell_length_b 8.409
_cell_length_c 8.409
_cell_angle_alpha 124.99
_cell_angle_beta 124.99
_cell_angle_gamma 81.56
_space_group_name_H-M_alt 'P 1'
_space_group_IT_number 1
loop_
_space_group_symop_operation_xyz
'x,y,z'
loop_
_atom_site_label
_atom_site_fract_x
_atom_site_fract_y
_atom_site_fract_z
Tm1 0.000 0.000 0.000
Tm2 0.013 0.513 0.809
Tm3 0.204 0.013 0.500
Tm4 0.296 0.796 0.809
Tm5 0.487 0.296 0.500
Tm6 0.500 0.500 0.000
Tm7 0.513 0.704 0.500
Tm8 0.704 0.204 0.191
Tm9 0.796 0.987 0.500
Tm10 0.987 0.487 0.191
Cu1 0.131 0.369 0.500
Cu2 0.369 0.869 0.237
Cu3 0.631 0.131 0.763
Cu4 0.869 0.631 0.500
Sb1 0.250 0.250 0.000
Sb2 0.750 0.750 0.000


4.
# LuBeTlNi GGA-PBE relaxed
# - Total DFT energy (no corrections): -15.63 eV per cell
# - Symmetry: No. 216
# - Total magnetization: 0.0 Bohr magnetons per cell
# - Polymorph energy (0 for the lowest one): 0.147 eV per atom
data_LuBeTlNi
_cell_length_a 4.609
_cell_length_b 4.609
_cell_length_c 4.609
_cell_angle_alpha 60.00
_cell_angle_beta 60.00
_cell_angle_gamma 60.00
_space_group_name_H-M_alt 'P 1'
_space_group_IT_number 1
loop_
_space_group_symop_operation_xyz
'x,y,z'
loop_
_atom_site_label
_atom_site_fract_x
_atom_site_fract_y
_atom_site_fract_z
Lu1 0.000 0.000 0.000
Be1 0.750 0.750 0.750
Tl1 0.250 0.250 0.250
Ni1 0.500 0.500 0.500